Density functional theory data (PBE) for a geometry-optimized NbTeCl structure.

VASP energy	-5.65	eV per atom
crystal system	triclinic
energy relative to the elements, uncorrected	-1.885	eV/f.u.

a b c (Å): 3.429 5.524 9.333
angles (deg): 90.87 90.10 71.92
Fractional coordinates of all 6 atoms:
Nb1 0.306 0.381 0.862
Nb2 0.690 0.616 0.143
Te1 0.602 0.789 0.864
Te2 0.394 0.207 0.141
Cl1 0.863 0.265 0.666
Cl2 0.133 0.732 0.338